Compound: NaTbTe4Pb2
Source: the Alexandria database
Functional: PBE
Structure: optimized geometry

Space-group type   P2/m (10)
Total magnetization   0.00 μB/atom
Final energy   -4.059 eV/atom
Raw formation energy   -6.536 eV per formula unit

POSCAR file:
```
NaTbTe4Pb2
1.0
7.876 0.000 0.000
0.000 4.542 0.000
-2.540 0.000 7.495
Na Tb Te Pb
1 1 4 2
direct
0.000 0.000 0.000
0.500 0.500 0.000
0.256 0.500 0.240
0.261 0.000 0.764
0.739 0.000 0.236
0.744 0.500 0.760
0.000 0.500 0.500
0.500 0.000 0.500
```